Density functional theory data (PBE) for a relaxed structure of Pm3Pd4Pt4.

Computed properties:
Density   11.21 g/cm³
Volume   22.1 A^3/atom
Space group   I-43m, No. 217
Energy of formation from the pure elements   -455 meV/atom

Unit cell a=6.8092 b=6.8092 c=6.8092 alpha=109.47 beta=109.47 gamma=109.47
Positions (direct):
Pm: 0.0000 0.5000 0.5000
Pm: 0.5000 0.0000 0.5000
Pm: 0.5000 0.5000 0.0000
Pd: 0.0000 0.0000 0.2449
Pd: 0.0000 0.2449 0.0000
Pd: 0.2449 0.0000 0.0000
Pd: 0.7551 0.7551 0.7551
Pt: 0.0000 0.0000 0.6063
Pt: 0.0000 0.6063 0.0000
Pt: 0.3937 0.3937 0.3937
Pt: 0.6063 0.0000 0.0000